[1]
{"formula": "Tb3DyTm6Sc2", "functional": "PBE", "state": "optimized geometry", "lattice": [[3.011, -5.212, 0.000], [3.011, 5.212, 0.000], [-2.004, 0.000, 11.322]], "species": ["Tb", "Tb", "Tb", "Dy", "Tm", "Tm", "Tm", "Tm", "Tm", "Tm", "Sc", "Sc"], "fractional_positions": [[0.000, 0.000, 0.000], [0.333, 0.667, 0.000], [0.667, 0.333, 0.000], [0.500, 0.500, 0.500], [0.083, 0.418, 0.256], [0.246, 0.246, 0.744], [0.418, 0.083, 0.256], [0.582, 0.917, 0.744], [0.754, 0.754, 0.256], [0.917, 0.582, 0.744], [0.167, 0.833, 0.500], [0.833, 0.167, 0.500]], "delta_e_f_ev_per_atom": 0.0378, "n_ef_per_ev_atom": 1.48, "sg": "C2/m (12)"}

***

[2]
{"formula": "Dy5AgHg6", "functional": "PBE", "state": "optimized geometry", "lattice": [[-2.579, 3.688, 7.822], [2.579, -3.688, 7.822], [2.579, 3.688, -7.822]], "species": ["Dy", "Dy", "Dy", "Dy", "Dy", "Ag", "Hg", "Hg", "Hg", "Hg", "Hg", "Hg"], "fractional_positions": [[0.000, 0.000, 0.000], [0.171, 0.671, 0.500], [0.343, 0.343, 0.000], [0.657, 0.657, 0.000], [0.829, 0.329, 0.500], [0.500, 0.000, 0.500], [0.088, 0.835, 0.252], [0.244, 0.500, 0.744], [0.417, 0.165, 0.252], [0.583, 0.835, 0.748], [0.756, 0.500, 0.256], [0.912, 0.165, 0.748]], "delta_e_f_ev_per_atom": -0.4145, "n_ef_per_ev_atom": 0.75, "sg": "Immm (71)"}